# 1
Below is a relaxed MgW crystal, with properties calculated at the PBE-GGA level.

## Properties
Its energy above the most stable polymorph in this dataset is 55.5 kJ/mol of atoms. The value obtained for the mass density is 9.1 g/cm3. The magnetic moment comes out at 0.00 Bohr magnetons per cell.

Unit cell a=8.673 b=7.990 c=4.787 alpha=81.32 beta=65.61 gamma=33.07
Positions (direct):
Mg 0.040 0.710 0.040
Mg 0.290 0.960 0.290
Mg 0.710 0.040 0.710
Mg 0.960 0.290 0.960
W 0.293 0.293 0.457
W 0.457 0.457 0.293
W 0.543 0.543 0.707
W 0.707 0.707 0.543


# 2
Below is a relaxed MgW2 crystal, with properties calculated at the PBE-GGA level.

## Properties
Its energy above the most stable polymorph in this dataset is 43.3 kJ/mol of atoms. The value obtained for the mass density is 13.3 g/cm3. The magnetic moment comes out at 0.00 Bohr magnetons per cell.

Unit cell a=4.573 b=4.573 c=5.416 alpha=90.00 beta=90.00 gamma=120.00
Positions (direct):
Mg 0.333 0.667 0.250
Mg 0.667 0.333 0.750
W 0.000 0.000 0.000
W 0.000 0.000 0.500
W 0.333 0.667 0.750
W 0.667 0.333 0.250


# 3
Below is a relaxed MgW crystal, with properties calculated at the PBE-GGA level.

## Properties
Its energy above the most stable polymorph in this dataset is 158.2 kJ/mol of atoms. The value obtained for the mass density is 9.3 g/cm3. The magnetic moment comes out at 0.00 Bohr magnetons per cell.

Unit cell a=3.751 b=3.751 c=3.751 alpha=60.00 beta=60.00 gamma=60.00
Positions (direct):
Mg 0.000 0.000 0.000
W 0.500 0.500 0.500


# 4
Below is a relaxed MgW3 crystal, with properties calculated at the PBE-GGA level.

## Properties
Its energy above the most stable polymorph in this dataset is 27.6 kJ/mol of atoms. The value obtained for the mass density is 14.1 g/cm3. The magnetic moment comes out at 0.00 Bohr magnetons per cell.

Unit cell a=10.017 b=10.017 c=10.017 alpha=16.13 beta=16.13 gamma=16.13
Positions (direct):
Mg 0.000 0.000 0.000
W 0.249 0.249 0.249
W 0.500 0.500 0.500
W 0.751 0.751 0.751


# 5
Below is a relaxed Mg2W crystal, with properties calculated at the PBE-GGA level.

## Properties
Its energy above the most stable polymorph in this dataset is 108.7 kJ/mol of atoms. The value obtained for the mass density is 5.4 g/cm3. The magnetic moment comes out at 2.15 Bohr magnetons per cell.

Unit cell a=4.654 b=4.654 c=4.654 alpha=60.00 beta=60.00 gamma=60.00
Positions (direct):
Mg 0.250 0.250 0.250
Mg 0.750 0.750 0.750
W 0.000 0.000 0.000


# 6
Below is a relaxed MgW crystal, with properties calculated at the PBE-GGA level.

## Properties
Its energy above the most stable polymorph in this dataset is 158.6 kJ/mol of atoms. The value obtained for the mass density is 9.2 g/cm3. The magnetic moment comes out at 0.00 Bohr magnetons per cell.

Unit cell a=3.922 b=3.922 c=5.627 alpha=90.00 beta=90.00 gamma=120.00
Positions (direct):
Mg 0.000 0.000 0.000
Mg 0.000 0.000 0.500
W 0.333 0.667 0.250
W 0.667 0.333 0.750


# 7
Below is a relaxed MgW4 crystal, with properties calculated at the PBE-GGA level.

## Properties
Its energy above the most stable polymorph in this dataset is 160.2 kJ/mol of atoms. The value obtained for the mass density is 13.3 g/cm3. The magnetic moment comes out at 0.00 Bohr magnetons per cell.

Unit cell a=4.971 b=4.971 c=4.971 alpha=109.47 beta=109.47 gamma=109.47
Positions (direct):
Mg 0.000 0.000 0.000
W 0.000 0.000 0.500
W 0.000 0.500 0.000
W 0.500 0.000 0.000
W 0.500 0.500 0.500


# 8
Below is a relaxed Mg3W5 crystal, with properties calculated at the PBE-GGA level.

## Properties
Its energy above the most stable polymorph in this dataset is 0.0 kJ/mol of atoms. The value obtained for the mass density is 12.3 g/cm3. The magnetic moment comes out at 0.00 Bohr magnetons per cell.

Unit cell a=6.324 b=6.324 c=3.349 alpha=90.00 beta=90.00 gamma=92.76
Positions (direct):
Mg 0.000 0.000 0.000
Mg 0.247 0.247 0.500
Mg 0.753 0.753 0.500
W 0.000 0.500 0.000
W 0.263 0.737 0.500
W 0.500 0.000 0.000
W 0.500 0.500 0.000
W 0.737 0.263 0.500


# 9
Below is a relaxed MgW crystal, with properties calculated at the PBE-GGA level.

## Properties
Its energy above the most stable polymorph in this dataset is 19.9 kJ/mol of atoms. The value obtained for the mass density is 9.9 g/cm3. The magnetic moment comes out at 0.00 Bohr magnetons per cell.

Unit cell a=5.798 b=5.798 c=6.954 alpha=101.81 beta=101.81 gamma=27.29
Positions (direct):
Mg 0.000 0.000 0.000
Mg 0.057 0.057 0.634
Mg 0.398 0.398 0.299
W 0.315 0.315 0.665
W 0.674 0.674 0.331
W 0.731 0.731 0.978


# 10
Below is a relaxed MgW3 crystal, with properties calculated at the PBE-GGA level.

## Properties
Its energy above the most stable polymorph in this dataset is 30.8 kJ/mol of atoms. The value obtained for the mass density is 14.4 g/cm3. The magnetic moment comes out at 0.00 Bohr magnetons per cell.

Unit cell a=4.620 b=5.562 c=5.169 alpha=90.00 beta=90.00 gamma=90.00
Positions (direct):
Mg 0.250 0.250 0.152
Mg 0.750 0.750 0.848
W 0.250 0.016 0.649
W 0.250 0.484 0.649
W 0.250 0.750 0.161
W 0.750 0.250 0.839
W 0.750 0.516 0.351
W 0.750 0.984 0.351


# 11
Below is a relaxed Mg2W crystal, with properties calculated at the PBE-GGA level.

## Properties
Its energy above the most stable polymorph in this dataset is 24.7 kJ/mol of atoms. The value obtained for the mass density is 7.1 g/cm3. The magnetic moment comes out at 0.00 Bohr magnetons per cell.

Unit cell a=5.355 b=5.355 c=5.355 alpha=149.88 beta=134.82 gamma=55.26
Positions (direct):
Mg 0.165 0.165 0.000
Mg 0.835 0.835 0.000
W 0.500 0.500 0.000


# 12
Below is a relaxed YMgW crystal, with properties calculated at the PBE-GGA level.

## Properties
Its energy above the most stable polymorph in this dataset is 5.7 kJ/mol of atoms. The value obtained for the mass density is 7.8 g/cm3. The magnetic moment comes out at 0.00 Bohr magnetons per cell.

Unit cell a=5.046 b=5.046 c=2.868 alpha=90.00 beta=90.00 gamma=120.00
Positions (direct):
Y 0.000 0.000 0.000
Mg 0.667 0.333 0.431
W 0.333 0.667 0.540